(1)
DFT (PBE) results for crystalline ZnHgSeO at its relaxed geometry.

Cell: 8.5954 13.5796 6.6277 Å, 90.00 90.00 90.00°
Closest atoms and distances in Å follow each position.
Atoms (fractional coordinates):
Hg 0.3201 0.4168 0.0573  1 O 2.20
Hg 0.1799 0.9168 0.0573  1 O 2.20
Hg 0.8201 0.4168 0.4427  1 O 2.20
Hg 0.6799 0.9168 0.4427  1 O 2.20
Hg 0.3201 0.0832 0.5573  1 O 2.20
Hg 0.1799 0.5832 0.5573  1 O 2.20
Hg 0.8201 0.0832 0.9427  1 O 2.20
Hg 0.6799 0.5832 0.9427  1 O 2.20
O 0.7726 0.2329 0.0521  2 Zn 1.87-2.00
O 0.7274 0.7329 0.0521  2 Zn 1.87-2.00
O 0.2726 0.2329 0.4479  2 Zn 1.87-2.00
O 0.2274 0.7329 0.4479  2 Zn 1.87-2.00
O 0.7726 0.2671 0.5521  2 Zn 1.87-2.00
O 0.7274 0.7671 0.5521  2 Zn 1.87-2.00
O 0.2726 0.2671 0.9479  2 Zn 1.87-2.00
O 0.2274 0.7671 0.9479  2 Zn 1.87-2.00
Se 0.5661 0.0505 0.2272  1 Zn 2.38, 1 Hg 2.51
Se 0.9339 0.5505 0.2272  1 Zn 2.38, 1 Hg 2.51
Se 0.0661 0.0505 0.2728  1 Zn 2.38, 1 Hg 2.51
Se 0.4339 0.5505 0.2728  1 Zn 2.38, 1 Hg 2.51
Se 0.5661 0.4495 0.7272  1 Zn 2.38, 1 Hg 2.51
Se 0.9339 0.9495 0.7272  1 Zn 2.38, 1 Hg 2.51
Se 0.0661 0.4495 0.7728  1 Zn 2.38, 1 Hg 2.51
Se 0.4339 0.9495 0.7728  1 Zn 2.38, 1 Hg 2.51
Zn 0.2027 0.1951 0.1715  2 O 1.87-2.00
Zn 0.2973 0.6951 0.1715  2 O 1.87-2.00
Zn 0.7027 0.1951 0.3285  2 O 1.87-2.00
Zn 0.7973 0.6951 0.3285  2 O 1.87-2.00
Zn 0.2027 0.3049 0.6715  2 O 1.87-2.00
Zn 0.2973 0.8049 0.6715  2 O 1.87-2.00
Zn 0.7027 0.3049 0.8285  2 O 1.87-2.00
Zn 0.7973 0.8049 0.8285  2 O 1.87-2.00

## Properties
Energy above the most stable polymorph in this dataset in meV/atom: 136
E_tot in eV/atom: -3.016
Space group: Pbca

***

(2)
DFT (PBE) results for crystalline ZnHgSeO at its relaxed geometry.

Cell: 3.8606 3.8608 11.6565 Å, 90.00 90.00 120.00°
Closest atoms and distances in Å follow each position.
Atoms (fractional coordinates):
Hg 0.3333 0.6666 0.2698  3 O 2.34
Hg 0.6667 0.3334 0.7698  3 O 2.34
O 0.0000 0.0000 0.3307  1 Zn 1.95
O 0.0000 0.0000 0.8307  1 Zn 1.95
Se 0.6667 0.3334 0.0896  3 Zn 2.47
Se 0.3333 0.6666 0.5896  3 Zn 2.47
Zn 0.0000 0.0000 0.4977  1 O 1.95
Zn 0.0000 0.0000 0.9977  1 O 1.95

## Properties
Energy above the most stable polymorph in this dataset in meV/atom: 173
E_tot in eV/atom: -2.979
Space group: P6_3mc

***

(3)
DFT (PBE) results for crystalline ZnHgSeO at its relaxed geometry.

Cell: 4.1034 4.1034 9.4075 Å, 90.00 90.00 90.00°
Closest atoms and distances in Å follow each position.
Atoms (fractional coordinates):
Hg 0.7500 0.7500 0.1240  1 O 2.37
Hg 0.2500 0.2500 0.8760  1 O 2.37
O 0.2500 0.2500 0.1283  1 Zn 1.83
O 0.7500 0.7500 0.8717  1 Zn 1.83
Se 0.7500 0.2500 0.5000  4 Zn 2.64, 4 Se 2.90
Se 0.2500 0.7500 0.5000  4 Zn 2.64, 4 Se 2.90
Zn 0.2500 0.2500 0.3233  1 O 1.83
Zn 0.7500 0.7500 0.6767  1 O 1.83

## Properties
Energy above the most stable polymorph in this dataset in meV/atom: 570
E_tot in eV/atom: -2.583
Space group: P4/nmm

***

(4)
DFT (PBE) results for crystalline ZnHgSeO at its relaxed geometry.

Cell: 4.0828 4.0828 8.9706 Å, 90.00 90.00 90.00°
Closest atoms and distances in Å follow each position.
Atoms (fractional coordinates):
Hg 0.7500 0.2500 0.0000  4 Hg 2.89, 4 Zn 3.22
Hg 0.2500 0.7500 0.0000  4 Hg 2.89, 4 Zn 3.22
O 0.7500 0.7500 0.4903  1 Se 1.71, 1 Zn 1.90
O 0.2500 0.2500 0.5097  1 Se 1.71, 1 Zn 1.90
Se 0.2500 0.2500 0.3187  1 O 1.71
Se 0.7500 0.7500 0.6813  1 O 1.71
Zn 0.7500 0.7500 0.2781  1 O 1.90
Zn 0.2500 0.2500 0.7219  1 O 1.90

## Properties
Energy above the most stable polymorph in this dataset in meV/atom: 543
E_tot in eV/atom: -2.609
Space group: P4/nmm

***

(5)
DFT (PBE) results for crystalline ZnHgSeO at its relaxed geometry.

Cell: 6.2105 7.3916 8.0609 Å, 90.00 90.00 90.00°
Closest atoms and distances in Å follow each position.
Atoms (fractional coordinates):
Hg 0.2461 0.7195 0.0299  2 Se 2.49-2.50
Hg 0.7539 0.2195 0.4701  2 Se 2.49-2.50
Hg 0.2539 0.2805 0.5299  2 Se 2.49-2.50
Hg 0.7461 0.7805 0.9701  2 Se 2.49-2.50
O 0.4674 0.1606 0.0853  2 Zn 1.84
O 0.5326 0.6606 0.4147  2 Zn 1.84
O 0.0326 0.8394 0.5853  2 Zn 1.84
O 0.9674 0.3394 0.9147  2 Zn 1.84
Se 0.9910 0.9287 0.1739  2 Hg 2.49-2.50
Se 0.0089 0.4287 0.3261  2 Hg 2.49-2.50
Se 0.5089 0.0713 0.6739  2 Hg 2.49-2.50
Se 0.4911 0.5713 0.8261  2 Hg 2.49-2.50
Zn 0.1971 0.2329 0.0205  2 O 1.84
Zn 0.8029 0.7329 0.4795  2 O 1.84
Zn 0.3029 0.7671 0.5205  2 O 1.84
Zn 0.6971 0.2671 0.9795  2 O 1.84

## Properties
Energy above the most stable polymorph in this dataset in meV/atom: 168
E_tot in eV/atom: -2.985
Space group: P2_12_12_1

***

(6)
DFT (PBE) results for crystalline ZnHgSeO at its relaxed geometry.

Cell: 6.6604 7.4985 6.4642 Å, 90.00 90.00 90.00°
Closest atoms and distances in Å follow each position.
Atoms (fractional coordinates):
Hg 0.1081 0.1204 0.4537  3 O 2.27-2.39
Hg 0.6081 0.8796 0.4537  3 O 2.27-2.39
Hg 0.3919 0.1204 0.9537  3 O 2.27-2.39
Hg 0.8919 0.8796 0.9537  3 O 2.27-2.39
O 0.0739 0.1212 0.1042  1 Zn 1.95
O 0.5739 0.8788 0.1042  1 Zn 1.95
O 0.4261 0.1212 0.6042  1 Zn 1.95
O 0.9261 0.8788 0.6042  1 Zn 1.95
Se 0.5907 0.3712 0.1565  3 Zn 2.47-2.48, 1 Hg 2.65
Se 0.0907 0.6288 0.1565  3 Zn 2.47-2.48, 1 Hg 2.65
Se 0.9093 0.3712 0.6565  3 Zn 2.47-2.48, 1 Hg 2.65
Se 0.4093 0.6288 0.6565  3 Zn 2.47-2.48, 1 Hg 2.65
Zn 0.9415 0.3450 0.0356  1 O 1.95
Zn 0.4415 0.6550 0.0356  1 O 1.95
Zn 0.5585 0.3450 0.5356  1 O 1.95
Zn 0.0585 0.6550 0.5356  1 O 1.95

## Properties
Energy above the most stable polymorph in this dataset in meV/atom: 117
E_tot in eV/atom: -3.035
Space group: Pca2_1